[1]
Computed, not measured: an optimized crystal structure of NdPuSe2F2 at the GGA-PBE level of DFT.

a = 3.984 Å, b = 3.984 Å, c = 7.191 Å
α = 90.00°, β = 90.00°, γ = 90.00°
Last column: magnetic moment on the atom in μB.
Atoms (fractional coordinates):
Nd  0.000  0.000  0.216  0.00
Se  0.000  0.000  0.646  -0.11
Se  0.500  0.500  0.360  -0.03
Pu  0.500  0.500  0.775  5.09
F  0.000  0.500  0.001  -0.01
F  0.500  0.000  0.001  -0.01

Values from the calculation:
raw total energy: -7.611 eV/atom

***

[2]
Computed, not measured: an optimized crystal structure of Rb2NdTlF6 at the GGA-PBE level of DFT.

a = 6.664 Å, b = 6.664 Å, c = 6.664 Å
α = 60.00°, β = 60.00°, γ = 60.00°
Atoms (fractional coordinates):
F  0.736  0.264  0.736
F  0.264  0.264  0.736
F  0.264  0.736  0.736
F  0.736  0.736  0.264
F  0.264  0.736  0.264
F  0.736  0.264  0.264
Rb  0.250  0.250  0.250
Rb  0.750  0.750  0.750
Tl  0.000  0.000  0.000
Nd  0.500  0.500  0.500

Values from the calculation:
raw total energy: -4.987 eV/atom

***

[3]
Computed, not measured: an optimized crystal structure of Rb2NdTlF6 at the GGA-PBE level of DFT.

a = 6.601 Å, b = 6.601 Å, c = 6.601 Å
α = 122.39°, β = 122.39°, γ = 85.90°
Atoms (fractional coordinates):
F  0.734  0.734  0.000
F  0.827  0.632  0.458
F  0.173  0.368  0.542
F  0.368  0.827  0.195
F  0.632  0.173  0.805
F  0.266  0.266  0.000
Tl  0.000  0.000  0.000
Nd  0.500  0.500  0.000
Rb  0.750  0.250  0.500
Rb  0.250  0.750  0.500

Values from the calculation:
raw total energy: -5.026 eV/atom

***

[4]
Computed, not measured: an optimized crystal structure of NdRe3F at the GGA-PBE level of DFT.

a = 4.398 Å, b = 4.398 Å, c = 4.398 Å
α = 90.00°, β = 90.00°, γ = 90.00°
Last column: magnetic moment on the atom in μB.
Atoms (fractional coordinates):
Re  0.000  0.500  0.500  0.49
Re  0.500  0.500  0.000  0.92
Re  0.500  0.000  0.500  0.76
Nd  0.000  0.000  0.000  0.03
F  0.500  0.500  0.500  0.01

Values from the calculation:
raw total energy: -7.569 eV/atom

***

[5]
Computed, not measured: an optimized crystal structure of Nd2SF4 at the GGA-PBE level of DFT.

a = 7.661 Å, b = 7.661 Å, c = 7.661 Å
α = 30.56°, β = 30.56°, γ = 30.56°
Atoms (fractional coordinates):
Nd  0.246  0.246  0.246
Nd  0.754  0.754  0.754
F  0.572  0.572  0.572
F  0.139  0.139  0.139
F  0.428  0.428  0.428
F  0.861  0.861  0.861
S  0.000  0.000  0.000

Values from the calculation:
raw total energy: -6.624 eV/atom

***

[6]
Computed, not measured: an optimized crystal structure of NdUS2F2 at the GGA-PBE level of DFT.

a = 3.861 Å, b = 3.861 Å, c = 6.979 Å
α = 90.00°, β = 90.00°, γ = 90.00°
Last column: magnetic moment on the atom in μB.
Atoms (fractional coordinates):
S  0.500  0.500  0.643  -0.01
S  0.000  0.000  0.349  -0.05
F  0.000  0.500  0.999  0.00
F  0.500  0.000  0.999  0.00
Nd  0.000  0.000  0.767  0.01
U  0.500  0.500  0.244  2.59

Values from the calculation:
raw total energy: -7.315 eV/atom

***

[7]
Computed, not measured: an optimized crystal structure of Nd2SeF4 at the GGA-PBE level of DFT.

a = 7.893 Å, b = 7.893 Å, c = 7.893 Å
α = 29.94°, β = 29.94°, γ = 29.94°
Atoms (fractional coordinates):
Nd  0.243  0.243  0.243
Nd  0.757  0.757  0.757
F  0.139  0.139  0.139
F  0.861  0.861  0.861
F  0.570  0.570  0.570
F  0.430  0.430  0.430
Se  0.000  0.000  0.000

Values from the calculation:
raw total energy: -6.504 eV/atom

***

[8]
Computed, not measured: an optimized crystal structure of NdUSe2F2 at the GGA-PBE level of DFT.

a = 3.969 Å, b = 3.969 Å, c = 7.222 Å
α = 90.00°, β = 90.00°, γ = 90.00°
Last column: magnetic moment on the atom in μB.
Atoms (fractional coordinates):
Se  0.000  0.000  0.647  -0.04
Se  0.500  0.500  0.359  -0.01
F  0.000  0.500  0.002  0.00
F  0.500  0.000  0.002  0.00
U  0.500  0.500  0.770  2.70
Nd  0.000  0.000  0.220  0.01

Values from the calculation:
raw total energy: -6.958 eV/atom

***

[9]
Computed, not measured: an optimized crystal structure of NdSmSi2F2 at the GGA-PBE level of DFT.

a = 3.918 Å, b = 3.918 Å, c = 8.188 Å
α = 90.00°, β = 90.00°, γ = 120.00°
Atoms (fractional coordinates):
F  0.333  0.667  0.614
F  0.667  0.333  0.390
Si  0.667  0.333  0.983
Si  0.333  0.667  0.012
Sm  0.000  0.000  0.753
Nd  0.000  0.000  0.248

Values from the calculation:
raw total energy: -5.939 eV/atom

***

[10]
Computed, not measured: an optimized crystal structure of NdSmTe2F2 at the GGA-PBE level of DFT.

a = 4.137 Å, b = 4.137 Å, c = 7.467 Å
α = 90.00°, β = 90.00°, γ = 90.00°
Atoms (fractional coordinates):
Sm  0.500  0.500  0.801
Te  0.500  0.500  0.365
Te  0.000  0.000  0.639
F  0.000  0.500  0.998
F  0.500  0.000  0.998
Nd  0.000  0.000  0.199

Values from the calculation:
raw total energy: -5.827 eV/atom

***

[11]
Computed, not measured: an optimized crystal structure of NdSnF4 at the GGA-PBE level of DFT.

a = 3.816 Å, b = 3.816 Å, c = 10.843 Å
α = 90.00°, β = 90.00°, γ = 90.00°
Atoms (fractional coordinates):
Sn  0.000  0.500  0.933
Sn  0.500  0.000  0.067
Nd  0.000  0.500  0.358
Nd  0.500  0.000  0.642
F  0.500  0.000  0.359
F  0.000  0.000  0.790
F  0.000  0.000  0.500
F  0.500  0.500  0.210
F  0.500  0.500  0.790
F  0.000  0.000  0.210
F  0.500  0.500  0.500
F  0.000  0.500  0.641

Values from the calculation:
raw total energy: -5.713 eV/atom

***

[12]
Computed, not measured: an optimized crystal structure of Nd2TeF4 at the GGA-PBE level of DFT.

a = 8.130 Å, b = 8.130 Å, c = 8.130 Å
α = 29.16°, β = 29.16°, γ = 29.16°
Atoms (fractional coordinates):
F  0.139  0.139  0.139
F  0.434  0.434  0.434
F  0.861  0.861  0.861
F  0.566  0.566  0.566
Te  0.000  0.000  0.000
Nd  0.239  0.239  0.239
Nd  0.761  0.761  0.761

Values from the calculation:
raw total energy: -6.314 eV/atom

***

[13]
Computed, not measured: an optimized crystal structure of NpF3 at the GGA-PBE level of DFT.

a = 4.425 Å, b = 4.425 Å, c = 7.075 Å
α = 90.00°, β = 90.00°, γ = 129.55°
Last column: magnetic moment on the atom in μB.
Atoms (fractional coordinates):
F  0.848  0.152  0.561  -0.01
F  0.560  0.440  0.750  -0.01
F  0.848  0.152  0.939  -0.01
F  0.152  0.848  0.061  -0.01
F  0.152  0.848  0.439  -0.01
F  0.440  0.560  0.250  -0.01
Np  0.730  0.270  0.250  3.96
Np  0.270  0.730  0.750  3.96

Values from the calculation:
raw total energy: -8.023 eV/atom

***

[14]
Computed, not measured: an optimized crystal structure of NpF2 at the GGA-PBE level of DFT.

a = 5.745 Å, b = 5.745 Å, c = 3.386 Å
α = 90.00°, β = 90.00°, γ = 90.00°
Last column: magnetic moment on the atom in μB.
Atoms (fractional coordinates):
Np  0.000  0.000  0.000  4.61
Np  0.500  0.500  0.500  4.50
F  0.784  0.216  0.500  0.00
F  0.284  0.284  0.000  0.00
F  0.716  0.716  0.000  0.00
F  0.216  0.784  0.500  0.00

Values from the calculation:
raw total energy: -8.154 eV/atom

***

[15]
Computed, not measured: an optimized crystal structure of SrNpS2F at the GGA-PBE level of DFT.

a = 3.943 Å, b = 3.943 Å, c = 13.765 Å
α = 90.00°, β = 90.00°, γ = 90.00°
Last column: magnetic moment on the atom in μB.
Atoms (fractional coordinates):
S  0.500  0.000  0.093  -0.12
S  0.000  0.500  0.294  -0.08
S  0.000  0.500  0.907  -0.12
S  0.500  0.000  0.706  -0.08
Sr  0.500  0.000  0.392  0.00
Sr  0.000  0.500  0.608  0.00
Np  0.500  0.000  0.890  3.79
Np  0.000  0.500  0.110  3.79
F  0.500  0.500  0.500  0.00
F  0.000  0.000  0.500  0.00

Values from the calculation:
raw total energy: -7.220 eV/atom

***

[16]
Computed, not measured: an optimized crystal structure of NpTeF at the GGA-PBE level of DFT.

a = 4.177 Å, b = 4.177 Å, c = 4.324 Å
α = 90.00°, β = 90.00°, γ = 120.00°
Last column: magnetic moment on the atom in μB.
Atoms (fractional coordinates):
F  0.000  0.000  0.167  -0.02
Np  0.667  0.333  0.167  3.96
Te  0.333  0.667  0.667  -0.10

Values from the calculation:
raw total energy: -7.898 eV/atom

***

[17]
Computed, not measured: an optimized crystal structure of NpTlF6 at the GGA-PBE level of DFT.

a = 5.059 Å, b = 5.059 Å, c = 5.059 Å
α = 97.35°, β = 97.35°, γ = 97.35°
Last column: magnetic moment on the atom in μB.
Atoms (fractional coordinates):
F  0.789  0.414  0.789  -0.03
F  0.211  0.586  0.211  -0.03
F  0.789  0.789  0.414  -0.04
F  0.414  0.789  0.789  -0.03
F  0.586  0.211  0.211  -0.03
F  0.211  0.211  0.586  -0.04
Tl  0.000  0.000  0.000  -0.01
Np  0.500  0.500  0.500  2.17

Values from the calculation:
raw total energy: -6.221 eV/atom

***

[18]
Computed, not measured: an optimized crystal structure of OsO2F3 at the GGA-PBE level of DFT.

a = 5.167 Å, b = 4.807 Å, c = 11.619 Å
α = 90.00°, β = 98.73°, γ = 90.00°
Atoms (fractional coordinates):
F  0.033  0.823  0.495
F  0.851  0.849  0.683
F  0.128  0.644  0.908
F  0.942  0.306  0.599
F  0.740  0.357  0.794
F  0.033  0.177  0.995
F  0.942  0.694  0.099
F  0.649  0.155  0.387
F  0.740  0.643  0.294
F  0.649  0.845  0.887
F  0.128  0.356  0.408
F  0.851  0.151  0.183
O  0.251  0.857  0.299
O  0.408  0.876  0.090
O  0.336  0.653  0.701
O  0.558  0.374  0.003
O  0.336  0.347  0.201
O  0.558  0.626  0.503
O  0.251  0.143  0.799
O  0.408  0.124  0.590
Os  0.807  0.510  0.945
Os  0.807  0.490  0.445
Os  0.195  0.030  0.170
Os  0.195  0.970  0.670

Values from the calculation:
raw total energy: -5.778 eV/atom

***

[19]
Computed, not measured: an optimized crystal structure of OsO3F2 at the GGA-PBE level of DFT.

a = 5.185 Å, b = 4.759 Å, c = 11.675 Å
α = 90.00°, β = 98.28°, γ = 90.00°
Atoms (fractional coordinates):
O  0.653  0.905  0.595
O  0.653  0.595  0.095
O  0.750  0.403  0.504
O  0.580  0.125  0.208
O  0.420  0.875  0.792
O  0.250  0.903  0.996
O  0.750  0.097  0.004
O  0.420  0.625  0.292
O  0.347  0.405  0.905
O  0.250  0.597  0.496
O  0.580  0.375  0.708
O  0.347  0.095  0.405
F  0.051  0.950  0.204
F  0.949  0.050  0.796
F  0.949  0.450  0.296
F  0.051  0.550  0.704
F  0.140  0.403  0.111
F  0.140  0.097  0.611
F  0.860  0.903  0.389
F  0.860  0.597  0.889
Os  0.201  0.780  0.369
Os  0.201  0.720  0.869
Os  0.799  0.280  0.131
Os  0.799  0.220  0.631

Values from the calculation:
raw total energy: -6.133 eV/atom

***

[20]
Computed, not measured: an optimized crystal structure of OsO2F3 at the GGA-PBE level of DFT.

a = 5.101 Å, b = 9.470 Å, c = 11.703 Å
α = 90.00°, β = 98.16°, γ = 90.00°
Atoms (fractional coordinates):
F  0.903  0.339  0.854
F  0.721  0.187  0.551
F  0.992  0.427  0.263
F  0.097  0.661  0.146
F  0.800  0.418  0.448
F  0.198  0.081  0.551
F  0.721  0.313  0.051
F  0.200  0.918  0.052
F  0.104  0.167  0.156
F  0.903  0.161  0.354
F  0.198  0.419  0.051
F  0.992  0.073  0.763
F  0.802  0.581  0.949
F  0.800  0.082  0.948
F  0.896  0.667  0.344
F  0.279  0.813  0.449
F  0.008  0.927  0.237
F  0.802  0.919  0.449
F  0.896  0.833  0.844
F  0.008  0.573  0.737
F  0.104  0.333  0.656
F  0.097  0.839  0.646
F  0.279  0.687  0.949
F  0.200  0.582  0.552
O  0.294  0.167  0.957
O  0.571  0.425  0.648
O  0.593  0.575  0.145
O  0.429  0.575  0.352
O  0.294  0.333  0.457
O  0.495  0.331  0.248
O  0.429  0.925  0.852
O  0.593  0.925  0.645
O  0.407  0.075  0.355
O  0.505  0.669  0.752
O  0.495  0.169  0.748
O  0.505  0.831  0.252
O  0.407  0.425  0.855
O  0.706  0.667  0.543
O  0.571  0.075  0.148
O  0.706  0.833  0.043
Os  0.970  0.751  0.504
Os  0.970  0.749  0.004
Os  0.030  0.251  0.996
Os  0.643  0.009  0.775
Os  0.357  0.509  0.725
Os  0.357  0.991  0.225
Os  0.030  0.249  0.496
Os  0.643  0.491  0.275

Values from the calculation:
raw total energy: -5.766 eV/atom